Record 1
Computed, not measured: LiHfTiSe4 after structural relaxation at the GGA-PBE level of DFT.

Cell and atoms, written as CIF:
```
data_LiHfTiSe4
_chemical_formula_sum 'Li2 Hf2 Ti2 Se8'
_space_group_name_H-M_alt 'P 1'
_space_group_IT_number 1
_cell_length_a 7.812
_cell_length_b 7.712
_cell_length_c 7.712
_cell_angle_alpha 59.13
_cell_angle_beta 59.57
_cell_angle_gamma 59.57
loop_
_space_group_symop_operation_xyz
'x,y,z'
loop_
_atom_site_label
_atom_site_type_symbol
_atom_site_fract_x
_atom_site_fract_y
_atom_site_fract_z
_atom_site_occupancy
Li1 Li 0.616 0.634 0.134 1
Li2 Li 0.384 0.366 0.866 1
Hf1 Hf 0.500 0.000 0.500 1
Hf2 Hf 0.000 0.000 0.500 1
Ti1 Ti 0.000 0.000 0.000 1
Ti2 Ti 0.000 0.500 0.500 1
Se1 Se 0.758 0.749 0.735 1
Se2 Se 0.242 0.765 0.751 1
Se3 Se 0.758 0.235 0.249 1
Se4 Se 0.242 0.251 0.265 1
Se5 Se 0.227 0.755 0.255 1
Se6 Se 0.764 0.755 0.255 1
Se7 Se 0.236 0.245 0.745 1
Se8 Se 0.773 0.245 0.745 1
```

Values from the calculation:
Energy relative to the elements, uncorrected, meV per atom: -1241
SG: No. 74
D(E_F), states/eV/cell: 6.676



Record 2
Computed, not measured: Cu4S after structural relaxation at the GGA-PBE level of DFT.

Cell and atoms, written as CIF:
```
data_Cu4S
_chemical_formula_sum 'Cu4 S1'
_space_group_name_H-M_alt 'P 1'
_space_group_IT_number 1
_cell_length_a 4.322
_cell_length_b 4.322
_cell_length_c 4.322
_cell_angle_alpha 90.00
_cell_angle_beta 90.00
_cell_angle_gamma 90.00
loop_
_space_group_symop_operation_xyz
'x,y,z'
loop_
_atom_site_label
_atom_site_type_symbol
_atom_site_fract_x
_atom_site_fract_y
_atom_site_fract_z
_atom_site_occupancy
S1 S 0.500 0.500 0.500 1
Cu1 Cu 0.000 0.000 0.000 1
Cu2 Cu 0.500 0.000 0.500 1
Cu3 Cu 0.000 0.500 0.500 1
Cu4 Cu 0.500 0.500 0.000 1
```

Values from the calculation:
Energy relative to the elements, uncorrected, meV per atom: 469
SG: No. 221
D(E_F), states/eV/cell: 3.201



Question: Which value of energy relative to the elements, uncorrected does entry 1 give?
Answer: -1241 meV per atom